# Nd2SmReN4 (PBE, relaxed)
data_Nd2SmReN4
_chemical_formula_sum 'Nd8 Sm4 Re4 N16'
_cell_length_a 3.5148
_cell_length_b 12.0419
_cell_length_c 12.1012
_cell_angle_alpha 90.00
_cell_angle_beta 90.00
_cell_angle_gamma 90.00
_symmetry_space_group_name_H-M 'C m c m'
_symmetry_Int_Tables_number 63
_symmetry_space_group_name_Hall '-C 2c 2'
loop_
_atom_site_label
_atom_site_fract_x
_atom_site_fract_y
_atom_site_fract_z
Nd1 0.0000 0.1322 0.0393
Sm1 0.0000 0.3760 0.2500
Re1 0.0000 0.3541 0.7500
N1 0.0000 0.0685 0.2500
N2 0.0000 0.2309 0.6378
N3 0.0000 0.5000 0.0000
# V in Å³ per cell: 512
# Total magnetic moment in μB/atom: 0.000
# Energy relative to the elements, uncorrected in eV per atom: -0.857

=====

# NaAlMo2P (PBE, relaxed)
data_NaAlMo2P
_chemical_formula_sum 'Na1 Al1 Mo2 P1'
_cell_length_a 4.7626
_cell_length_b 4.7626
_cell_length_c 4.8014
_cell_angle_alpha 90.00
_cell_angle_beta 90.00
_cell_angle_gamma 90.00
_symmetry_space_group_name_H-M 'P 4/m m m'
_symmetry_Int_Tables_number 123
_symmetry_space_group_name_Hall '-P 4 2'
loop_
_atom_site_label
_atom_site_fract_x
_atom_site_fract_y
_atom_site_fract_z
Na1 0.0000 0.0000 0.0000
Al1 0.0000 0.0000 0.5000
Mo1 0.0000 0.5000 0.5000
P1 0.5000 0.5000 0.0000
# V in Å³ per cell: 109
# Energy of formation in eV/atom: 1.5627
# Total magnetic moment in μB/atom: 0.967

=====

# BaNaSr2Hg4 (PBE, relaxed)
data_BaNaSr2Hg4
_chemical_formula_sum 'Ba3 Na3 Sr6 Hg12'
_cell_length_a 5.6617
_cell_length_b 5.6617
_cell_length_c 28.0180
_cell_angle_alpha 90.00
_cell_angle_beta 90.00
_cell_angle_gamma 120.00
_symmetry_space_group_name_H-M 'R -3 m'
_symmetry_Int_Tables_number 166
_symmetry_space_group_name_Hall '-R 3 2"'
loop_
_atom_site_label
_atom_site_fract_x
_atom_site_fract_y
_atom_site_fract_z
Ba1 0.0000 0.0000 0.0000
Na1 0.0000 0.0000 0.5000
Sr1 0.0000 0.0000 0.2444
Hg1 0.0000 0.0000 0.1244
Hg2 0.0000 0.0000 0.3796
# V in Å³ per cell: 778
# Energy of formation in eV/atom: -0.4368
# Total magnetic moment in μB/atom: 0.000